# 1
Computed, not measured: TiReSn2I at its PBEsol-relaxed geometry at the meta-GGA SCAN level of DFT.

Cell lengths 4.873, 5.180, 5.180 Å; angles 90.00, 90.00, 90.00 degrees
Each line ends with the local moment (μB).
Atoms (fractional coordinates):
Re1 0.000 0.000 0.000  -0.09
Sn1 0.000 0.000 0.500  0.00
I1 0.500 0.500 0.500  0.02
Sn2 0.000 0.500 0.000  0.00
Ti1 0.500 0.000 0.000  0.93

Energy relative to the elements, uncorrected   0.312 eV per atom
Spin magnetization   1.088 μB/f.u.


# 2
Computed, not measured: Zr2TaCl at its PBEsol-relaxed geometry at the meta-GGA SCAN level of DFT.

Cell lengths 3.012, 4.661, 5.792 Å; angles 90.00, 90.00, 90.00 degrees
Atoms (fractional coordinates):
Ta1 0.500 0.500 0.837
Zr1 0.000 0.000 0.952
Zr2 0.500 0.500 0.324
Cl1 0.000 0.000 0.387

Energy relative to the elements, uncorrected   -0.029 eV per atom
Spin magnetization   0.000 μB/f.u.
Relative energy among the computed polymorphs   0.0 kJ per mole of atoms


# 3
Computed, not measured: TaCr2CuF at its PBEsol-relaxed geometry at the meta-GGA SCAN level of DFT.

Cell lengths 3.846, 3.846, 4.287 Å; angles 90.00, 90.00, 90.00 degrees
Each line ends with the local moment (μB).
Atoms (fractional coordinates):
Ta1 0.500 0.500 0.500  -0.86
Cu1 0.000 0.000 0.500  -0.09
F1 0.000 0.000 0.000  0.03
Cr1 0.000 0.500 0.000  2.27
Cr2 0.500 0.000 0.000  2.27

Energy relative to the elements, uncorrected   0.145 eV per atom
Spin magnetization   3.344 μB/f.u.


Look up the energy relative to the elements, uncorrected of the second one. -0.029 eV per atom


spin magnetization of number 1 (TiReSn2I)? 1.088 μB/f.u.


What did the first record say?
Computed, not measured: TiReSn2I at its PBEsol-relaxed geometry at the meta-GGA SCAN level of DFT.

Cell lengths 4.873, 5.180, 5.180 Å; angles 90.00, 90.00, 90.00 degrees
Each line ends with the local moment (μB).
Atoms (fractional coordinates):
Re1 0.000 0.000 0.000  -0.09
Sn1 0.000 0.000 0.500  0.00
I1 0.500 0.500 0.500  0.02
Sn2 0.000 0.500 0.000  0.00
Ti1 0.500 0.000 0.000  0.93

Energy relative to the elements, uncorrected   0.312 eV per atom
Spin magnetization   1.088 μB/f.u.


What did the second record say?
Computed, not measured: Zr2TaCl at its PBEsol-relaxed geometry at the meta-GGA SCAN level of DFT.

Cell lengths 3.012, 4.661, 5.792 Å; angles 90.00, 90.00, 90.00 degrees
Atoms (fractional coordinates):
Ta1 0.500 0.500 0.837
Zr1 0.000 0.000 0.952
Zr2 0.500 0.500 0.324
Cl1 0.000 0.000 0.387

Energy relative to the elements, uncorrected   -0.029 eV per atom
Spin magnetization   0.000 μB/f.u.
Relative energy among the computed polymorphs   0.0 kJ per mole of atoms